Density functional theory data (GGA-PBE) for a relaxed SrYPRu2 crystal.

Summary:
Magnetic moment = 0.000 μB per atom
DOS(E_F) = 7.373 states/eV per cell
Formation enthalpy at 0 K = 1.482 eV per atom
Total energy = -4.939 eV/atom

Cell lengths 4.758, 4.758, 5.407 Å; angles 90.00, 90.00, 90.00 degrees
Space group P4/mmm (No. 123)
Asymmetric unit:
Sr  0.000  0.000  0.000 x1
Y  0.500  0.500  0.500 x1
P  0.000  0.000  0.500 x1
Ru  0.000  0.500  0.000 x2

***

Density functional theory data (GGA-PBE) for a relaxed Ta2PRu crystal.

Summary:
Magnetic moment = 0.000 μB per atom
DOS(E_F) = 5.811 states/eV per cell
Formation enthalpy at 0 K = -0.347 eV per atom
Total energy = -9.945 eV/atom

Cell lengths 2.938, 4.465, 9.457 Å; angles 90.00, 90.00, 90.00 degrees
Space group Imm2 (No. 44)
Asymmetric unit:
Ta  0.000  0.000  0.000 x2
Ta  0.000  0.500  0.210 x2
P  0.000  0.000  0.474 x2
Ru  0.000  0.500  0.779 x2

***

Density functional theory data (GGA-PBE) for a relaxed Ta2PRu crystal.

Summary:
Magnetic moment = 0.000 μB per atom
DOS(E_F) = 18.484 states/eV per cell
Formation enthalpy at 0 K = 0.092 eV per atom
Total energy = -9.506 eV/atom

Cell lengths 6.286, 6.286, 6.286 Å; angles 90.00, 90.00, 90.00 degrees
Space group F-43m (No. 216)
Asymmetric unit:
Ta  0.000  0.000  0.000 x4
Ta  0.250  0.250  0.250 x4
P  0.000  0.000  0.500 x4
Ru  0.250  0.250  0.750 x4

***

Density functional theory data (GGA-PBE) for a relaxed TaPRu crystal.

Summary:
Magnetic moment = 0.000 μB per atom
DOS(E_F) = 2.321 states/eV per cell
Formation enthalpy at 0 K = -0.230 eV per atom
Total energy = -9.076 eV/atom

Cell lengths 2.963, 4.046, 7.532 Å; angles 90.00, 90.00, 90.00 degrees
Space group Imm2 (No. 44)
Asymmetric unit:
Ta  0.000  0.000  0.000 x2
P  0.000  0.000  0.333 x2
Ru  0.000  0.000  0.659 x2

***

Density functional theory data (GGA-PBE) for a relaxed TaPRu crystal.

Summary:
Magnetic moment = 0.000 μB per atom
DOS(E_F) = 8.113 states/eV per cell
Formation enthalpy at 0 K = -0.739 eV per atom
Total energy = -9.585 eV/atom

Cell lengths 6.321, 3.758, 10.833 Å; angles 90.00, 90.73, 90.00 degrees
Space group P2_1/m (No. 11)
Asymmetric unit:
Ta  0.023  0.250  0.212 x2
Ta  0.348  0.750  0.578 x2
Ta  0.469  0.750  0.884 x2
P  0.238  0.750  0.085 x2
P  0.240  0.250  0.417 x2
P  0.269  0.250  0.752 x2
Ru  0.020  0.250  0.592 x2
Ru  0.148  0.250  0.960 x2
Ru  0.368  0.750  0.293 x2

***

Density functional theory data (GGA-PBE) for a relaxed TaP2Ru crystal.

Summary:
Magnetic moment = 0.000 μB per atom
ΔE to the lowest computed polymorph = 0.579 eV per atom
DOS(E_F) = 5.935 states/eV per cell
Formation enthalpy at 0 K = -0.018 eV per atom
Total energy = -8.005 eV/atom

Cell lengths 3.108, 4.969, 7.685 Å; angles 90.00, 90.00, 90.00 degrees
Space group Immm (No. 71)
Asymmetric unit:
Ta  0.000  0.000  0.000 x2
P  0.000  0.500  0.235 x4
Ru  0.000  0.000  0.500 x2